PuGa4Pt4: relaxed, PBE.

Structure (extended XYZ):
```
18
Lattice="5.9892 0.0000 0.0000 0.0000 5.9892 0.0000 0.0000 0.0000 8.9073" Properties=species:S:1:pos:R:3 pbc="T T T"
Pu 0.0000 0.0000 0.0000
Pu 2.9946 2.9946 4.4537
Ga 1.3108 2.9946 8.1145
Ga 4.6784 2.9946 8.1145
Ga 2.9946 4.6784 0.7928
Ga 2.9946 1.3108 0.7928
Ga 0.0000 4.3054 3.6609
Ga 0.0000 1.6838 3.6609
Ga 1.6838 0.0000 5.2464
Ga 4.3054 0.0000 5.2464
Pt 2.9946 4.6016 7.1063
Pt 2.9946 1.3876 7.1063
Pt 4.6016 2.9946 1.8010
Pt 1.3876 2.9946 1.8010
Pt 1.6070 0.0000 2.6526
Pt 4.3822 0.0000 2.6526
Pt 0.0000 1.6070 6.2547
Pt 0.0000 4.3822 6.2547
```

**N(E_F)**: 1.934 states/eV per atom
**Calculated total energy**: -6.220 eV/atom
**V**: 319.5 Å³/cell
**Formation energy**: -0.60 eV per atom
**M_tot**: 10.985 μB/cell